Entry 1:
A relaxed Li6Bi2O crystal. Source: the Alexandria database, functional PBE.

Unit cell a=6.1126 b=6.1126 c=6.1126 alpha=119.36 beta=119.36 gamma=91.12
Closest atoms and distances in Å follow each position.
Fractional positions:
Li1 0.2185 0.2185 0.4370  1 O 1.91
Li2 0.2185 0.7815 0.0000  1 O 1.91
Li3 0.2224 0.2224 0.0000  1 O 1.90
Li4 0.7776 0.7776 0.0000  1 O 1.90
Li5 0.7815 0.2185 0.0000  1 O 1.91
Li6 0.7815 0.7815 0.5630  1 O 1.91
Bi1 0.2500 0.7500 0.5000  12 Li 3.07-3.09
Bi2 0.7500 0.2500 0.5000  12 Li 3.07-3.09
O1 0.0000 0.0000 0.0000  6 Li 1.90-1.91

## Properties
**ΔE_f (raw)**: -7.63 eV/f.u.
**Size of the total moment**: 0.00 μB per cell
**Space-group type**: I4/mmm, No. 139

=====

Entry 2:
A relaxed TbDyZnIn crystal. Source: the Alexandria database, functional PBE.

Unit cell a=3.6471 b=3.6471 c=7.4506 alpha=90.00 beta=90.00 gamma=90.00
Closest atoms and distances in Å follow each position.
Fractional positions:
Tb1 0.0000 0.0000 0.0000  4 Zn 3.11, 4 In 3.28, 1 Dy 3.43
Dy1 0.0000 0.0000 0.5393  4 Zn 3.09, 4 In 3.26, 1 Tb 3.43
Zn1 0.5000 0.5000 0.7671  4 Dy 3.09, 4 Tb 3.11
In1 0.5000 0.5000 0.2711  4 Dy 3.26, 4 Tb 3.28, 4 In 3.65

## Properties
**Size of the total moment**: 0.00 μB per cell
**E_form**: -0.4188 eV per atom
**Polymorph energy (0 for the lowest one)**: 0 meV per atom
**Space-group type**: P4mm, No. 99

=====

Entry 3:
A relaxed PaSbRu2 crystal. Source: the Alexandria database, functional PBE.

Unit cell a=4.7693 b=4.7693 c=12.1078 alpha=90.00 beta=90.00 gamma=120.00
Closest atoms and distances in Å follow each position.
Fractional positions:
Pa1 0.0000 0.0000 0.0000  2 Ru 2.52
Pa2 0.3333 0.6667 0.6667  2 Ru 2.52
Pa3 0.6667 0.3333 0.3333  2 Ru 2.52
Sb1 0.0000 0.0000 0.5000  6 Ru 2.80
Sb2 0.3333 0.6667 0.1667  6 Ru 2.80
Sb3 0.6667 0.3333 0.8333  6 Ru 2.80
Ru1 0.0000 0.0000 0.2083  1 Pa 2.52, 3 Sb 2.80
Ru2 0.0000 0.0000 0.7917  1 Pa 2.52, 3 Sb 2.80
Ru3 0.3333 0.6667 0.4583  1 Pa 2.52, 3 Sb 2.80
Ru4 0.3333 0.6667 0.8750  1 Pa 2.52, 3 Sb 2.80
Ru5 0.6667 0.3333 0.1250  1 Pa 2.52, 3 Sb 2.80
Ru6 0.6667 0.3333 0.5417  1 Pa 2.52, 3 Sb 2.80

## Properties
**ΔE_f (raw)**: -1.47 eV/f.u.
**Size of the total moment**: 0.00 μB per cell
**Polymorph energy (0 for the lowest one)**: 0 meV per atom
**Space-group type**: R-3m, No. 166

=====

Entry 4:
A relaxed CaEr2NpO8 crystal. Source: the Alexandria database, functional PBE.

Unit cell a=3.9355 b=7.5141 c=5.2107 alpha=90.00 beta=92.50 gamma=90.00
Closest atoms and distances in Å follow each position.
Fractional positions:
Ca1 0.0000 0.0000 0.0000  8 O 2.37-2.50
Er1 0.5000 0.2554 0.5000  8 O 2.27-2.40
Er2 0.5000 0.7446 0.5000  8 O 2.27-2.40
Np1 0.0000 0.5000 0.0000  6 O 2.05-2.18
O1 0.0171 0.2859 0.7564  1 Np 2.05
O2 0.0171 0.7141 0.7564  1 Np 2.05
O3 0.4749 0.5000 0.2324  2 Np 2.18-2.44, 2 Er 2.31, 1 O 2.44
O4 0.5003 0.0000 0.2691  2 Er 2.27, 2 Ca 2.37-2.46, 1 O 2.41
O5 0.4997 0.0000 0.7309  2 Er 2.27, 2 Ca 2.37-2.46, 1 O 2.41
O6 0.5251 0.5000 0.7676  2 Np 2.18-2.44, 2 Er 2.31, 1 O 2.44
O7 0.9829 0.2859 0.2436  1 Np 2.05
O8 0.9829 0.7141 0.2436  1 Np 2.05

## Properties
**ΔE_f (raw)**: -35.07 eV/f.u.
**Size of the total moment**: 0.59 μB per cell
**Space-group type**: P2/m, No. 10

=====

Entry 5:
A relaxed CaHf2CuN4 crystal. Source: the Alexandria database, functional PBE.

Unit cell a=5.6851 b=5.6851 c=11.1974 alpha=90.00 beta=90.00 gamma=146.81
Closest atoms and distances in Å follow each position.
Fractional positions:
Ca1 0.1069 0.8931 0.7500  6 N 2.43-2.69
Ca2 0.8931 0.1069 0.2500  6 N 2.43-2.69
Hf1 0.3671 0.6329 0.5529  6 N 2.12-2.35
Hf2 0.3671 0.6329 0.9471  6 N 2.12-2.35
Hf3 0.6329 0.3671 0.0529  6 N 2.12-2.35
Hf4 0.6329 0.3671 0.4471  6 N 2.12-2.35
Cu1 0.1593 0.8407 0.2500  4 N 1.95-1.96
Cu2 0.8407 0.1593 0.7500  4 N 1.95-1.96
N1 0.0000 0.0000 0.0000  4 Hf 2.25
N2 0.0000 0.0000 0.5000  4 Hf 2.25
N3 0.2624 0.7376 0.1064  1 Cu 1.96, 1 Hf 2.12
N4 0.2624 0.7376 0.3936  1 Cu 1.96, 1 Hf 2.12
N5 0.4406 0.5594 0.7500  2 Cu 1.95
N6 0.5594 0.4406 0.2500  2 Cu 1.95
N7 0.7376 0.2624 0.6064  1 Cu 1.96, 1 Hf 2.12
N8 0.7376 0.2624 0.8936  1 Cu 1.96, 1 Hf 2.12

## Properties
**ΔE_f (raw)**: -8.98 eV/f.u.
**Size of the total moment**: 0.00 μB per cell
**Space-group type**: Cmcm, No. 63

=====

Entry 6:
A relaxed EuGdInGe crystal. Source: the Alexandria database, functional PBE.

Unit cell a=7.5212 b=7.5212 c=7.5212 alpha=90.00 beta=90.00 gamma=90.00
Closest atoms and distances in Å follow each position.
Fractional positions:
Eu1 0.0000 0.0000 0.0000  4 Ge 3.26, 4 In 3.26
Eu2 0.0000 0.5000 0.5000  4 In 3.26, 4 Ge 3.26
Eu3 0.5000 0.0000 0.5000  4 In 3.26, 4 Ge 3.26
Eu4 0.5000 0.5000 0.0000  4 In 3.26, 4 Ge 3.26
Gd1 0.0000 0.0000 0.5000  4 Ge 3.26, 4 In 3.26
Gd2 0.0000 0.5000 0.0000  4 Ge 3.26, 4 In 3.26
Gd3 0.5000 0.0000 0.0000  4 Ge 3.26, 4 In 3.26
Gd4 0.5000 0.5000 0.5000  4 Ge 3.26, 4 In 3.26
In1 0.2500 0.2500 0.7500  4 Gd 3.26, 4 Eu 3.26
In2 0.2500 0.7500 0.2500  4 Gd 3.26, 4 Eu 3.26
In3 0.7500 0.2500 0.2500  4 Gd 3.26, 4 Eu 3.26
In4 0.7500 0.7500 0.7500  4 Gd 3.26, 4 Eu 3.26
Ge1 0.2500 0.2500 0.2500  4 Gd 3.26, 4 Eu 3.26
Ge2 0.2500 0.7500 0.7500  4 Gd 3.26, 4 Eu 3.26
Ge3 0.7500 0.2500 0.7500  4 Gd 3.26, 4 Eu 3.26
Ge4 0.7500 0.7500 0.2500  4 Gd 3.26, 4 Eu 3.26

## Properties
**Size of the total moment**: 56.94 μB per cell
**E_form**: -0.4903 eV per atom
**Space-group type**: F-43m, No. 216

=====

Entry 7:
A relaxed TiZnOs3 crystal. Source: the Alexandria database, functional PBE.

Unit cell a=4.5499 b=4.5499 c=4.5499 alpha=90.00 beta=90.00 gamma=90.00
Closest atoms and distances in Å follow each position.
Fractional positions:
Ti1 0.0000 0.0000 0.0000  6 Os 2.27
Zn1 0.5000 0.5000 0.5000  12 Os 3.22
Os1 0.0000 0.0000 0.5000  2 Ti 2.27
Os2 0.0000 0.5000 0.0000  2 Ti 2.27
Os3 0.5000 0.0000 0.0000  2 Ti 2.27

## Properties
**Size of the total moment**: 0.99 μB per cell
**E_form**: 1.7953 eV per atom
**Polymorph energy (0 for the lowest one)**: 179 meV per atom
**Space-group type**: Pm-3m, No. 221

=====

Entry 8:
A relaxed Fe2AuBr crystal. Source: the Alexandria database, functional PBE.

Unit cell a=9.0966 b=3.1064 c=7.5485 alpha=90.00 beta=127.05 gamma=90.00
Closest atoms and distances in Å follow each position.
Fractional positions:
Fe1 0.1483 0.0000 0.3552  2 Fe 2.40, 2 Br 2.66
Fe2 0.3517 0.5000 0.6448  2 Fe 2.40, 2 Br 2.66
Fe3 0.6483 0.5000 0.3552  2 Fe 2.40, 2 Br 2.66
Fe4 0.8517 0.0000 0.6448  2 Fe 2.40, 2 Br 2.66
Au1 0.0000 0.5000 0.5000  6 Fe 2.68-2.69
Au2 0.5000 0.0000 0.5000  6 Fe 2.68-2.69
Br1 0.0000 0.5000 0.0000  4 Fe 2.66
Br2 0.5000 0.0000 0.0000  4 Fe 2.66

## Properties
**ΔE_f (raw)**: 0.99 eV/f.u.
**Size of the total moment**: 12.39 μB per cell
**Space-group type**: C2/m, No. 12

=====

Repeat the fourth record exactly.
A relaxed CaEr2NpO8 crystal. Source: the Alexandria database, functional PBE.

Unit cell a=3.9355 b=7.5141 c=5.2107 alpha=90.00 beta=92.50 gamma=90.00
Closest atoms and distances in Å follow each position.
Fractional positions:
Ca1 0.0000 0.0000 0.0000  8 O 2.37-2.50
Er1 0.5000 0.2554 0.5000  8 O 2.27-2.40
Er2 0.5000 0.7446 0.5000  8 O 2.27-2.40
Np1 0.0000 0.5000 0.0000  6 O 2.05-2.18
O1 0.0171 0.2859 0.7564  1 Np 2.05
O2 0.0171 0.7141 0.7564  1 Np 2.05
O3 0.4749 0.5000 0.2324  2 Np 2.18-2.44, 2 Er 2.31, 1 O 2.44
O4 0.5003 0.0000 0.2691  2 Er 2.27, 2 Ca 2.37-2.46, 1 O 2.41
O5 0.4997 0.0000 0.7309  2 Er 2.27, 2 Ca 2.37-2.46, 1 O 2.41
O6 0.5251 0.5000 0.7676  2 Np 2.18-2.44, 2 Er 2.31, 1 O 2.44
O7 0.9829 0.2859 0.2436  1 Np 2.05
O8 0.9829 0.7141 0.2436  1 Np 2.05

## Properties
**ΔE_f (raw)**: -35.07 eV/f.u.
**Size of the total moment**: 0.59 μB per cell
**Space-group type**: P2/m, No. 10

=====

What did the seventh record say?
A relaxed TiZnOs3 crystal. Source: the Alexandria database, functional PBE.

Unit cell a=4.5499 b=4.5499 c=4.5499 alpha=90.00 beta=90.00 gamma=90.00
Closest atoms and distances in Å follow each position.
Fractional positions:
Ti1 0.0000 0.0000 0.0000  6 Os 2.27
Zn1 0.5000 0.5000 0.5000  12 Os 3.22
Os1 0.0000 0.0000 0.5000  2 Ti 2.27
Os2 0.0000 0.5000 0.0000  2 Ti 2.27
Os3 0.5000 0.0000 0.0000  2 Ti 2.27

## Properties
**Size of the total moment**: 0.99 μB per cell
**E_form**: 1.7953 eV per atom
**Polymorph energy (0 for the lowest one)**: 179 meV per atom
**Space-group type**: Pm-3m, No. 221

=====

Look up the size of the total moment of the fifth one.
0.00 μB per cell